No. 1
DFT (GGA-PBE) results for crystalline Y2Cd at its relaxed geometry.

abc: 7.343 7.343 7.343
angles: 90.00 90.00 90.00
Space group Pa-3 (No. 205)
Unique sites:
1 Y 0.156 0.156 0.156 x8
2 Cd 0.000 0.000 0.500 x4

Values from the calculation:
The calculated total energy comes out at -4.501 eV per atom. The formation energy from the elements is 0.113 eV per atom. Its mass density is 4.9 g/cm3. As for the total magnetization: 0.0000 μB per atom.


No. 2
DFT (GGA-PBE) results for crystalline DyY4Se5 at its relaxed geometry.

abc: 4.079 4.079 28.956
angles: 90.00 90.00 90.00
Space group I4/mmm (No. 139)
Unique sites:
1 Dy 0.000 0.000 0.000 x2
2 Y 0.000 0.000 0.202 x4
3 Y 0.000 0.000 0.402 x4
4 Se 0.000 0.000 0.101 x4
5 Se 0.000 0.000 0.302 x4
6 Se 0.000 0.000 0.500 x2

Values from the calculation:
The calculated total energy comes out at -6.548 eV per atom. The raw formation energy comes out at -1698 kJ/mol of formula units. Its mass density is 6.3 g/cm3. As for the total magnetization: 0.0000 μB per atom.


No. 3
DFT (GGA-PBE) results for crystalline Tm7BeBr12 at its relaxed geometry.

abc: 14.4816 14.4816 9.7624
angles: 90.00 90.00 120.00
Space group R-3 (No. 148, hexagonal axes)
Unique sites:
1 Tm 0.0000 0.0000 0.0000 x3
2 Tm 0.0449 0.8823 0.3495 x18
3 Be 0.0000 0.0000 0.5000 x3
4 Br 0.0217 0.4360 0.1616 x18
5 Br 0.0505 0.8695 0.8408 x18

Values from the calculation:
The calculated total energy comes out at -4.219 eV per atom. The raw formation energy comes out at -2825 kJ/mol of formula units. Its mass density is 6.0 g/cm3. As for the total magnetization: 0.0001 μB per atom.


No. 4
DFT (GGA-PBE) results for crystalline Tc2SnGe at its relaxed geometry.

abc: 6.343 6.343 6.343
angles: 90.00 90.00 90.00
Space group Fm-3m (No. 225)
Unique sites:
1 Tc 0.250 0.250 0.250 x8
2 Sn 0.000 0.000 0.000 x4
3 Ge 0.000 0.000 0.500 x4

Values from the calculation:
The calculated total energy comes out at -7.211 eV per atom. The formation energy from the elements is 0.127 eV per atom. For the energy relative to the lowest polymorph listed for this composition, the calculation gives 53.4 meV per atom. Its mass density is 10.1 g/cm3. As for the total magnetization: 0.0000 μB per atom.


No. 5
DFT (GGA-PBE) results for crystalline ZrI3 at its relaxed geometry.

abc: 7.9728 7.9728 6.5861
angles: 90.00 90.00 120.00
Space group P6_3/mcm (No. 193)
Unique sites:
1 Zr 0.0000 0.0000 0.0000 x2
2 I 0.0000 0.3039 0.2500 x6

Values from the calculation:
The calculated total energy comes out at -4.243 eV per atom. The raw formation energy comes out at -364 kJ/mol of formula units. Its mass density is 4.3 g/cm3. As for the total magnetization: 0.0000 μB per atom.


No. 6
DFT (GGA-PBE) results for crystalline PmYB12 at its relaxed geometry.

abc: 4.113 4.113 8.228
angles: 90.00 90.00 90.00
Space group P4/mmm (No. 123)
Unique sites:
1 Pm 0.000 0.000 0.000 x1
2 Y 0.000 0.000 0.500 x1
3 B 0.199 0.500 0.251 x8
4 B 0.500 0.500 0.100 x2
5 B 0.500 0.500 0.401 x2

Values from the calculation:
The calculated total energy comes out at -6.958 eV per atom. The formation energy from the elements is -0.433 eV per atom. Its mass density is 4.3 g/cm3. As for the total magnetization: 0.0000 μB per atom.


No. 7
DFT (GGA-PBE) results for crystalline ZnFeNi2B at its relaxed geometry.

abc: 3.825 3.825 3.822
angles: 90.00 90.00 90.00
Space group P4/mmm (No. 123)
Unique sites:
1 Zn 0.000 0.000 0.000 x1
2 Fe 0.500 0.500 0.000 x1
3 Ni 0.000 0.500 0.500 x2
4 B 0.500 0.500 0.500 x1

Values from the calculation:
The calculated total energy comes out at -5.650 eV per atom. The formation energy from the elements is -0.055 eV per atom. Its mass density is 7.4 g/cm3. As for the total magnetization: 0.2424 μB per atom.


No. 8
DFT (GGA-PBE) results for crystalline YLuTe3 at its relaxed geometry.

abc: 19.359 4.706 8.237
angles: 90.00 94.63 90.00
Space group C2/m (No. 12)
Unique sites:
1 Y 0.153 0.000 0.366 x4
2 Lu 0.094 0.500 0.915 x4
3 Te 0.044 0.500 0.259 x4
4 Te 0.173 0.000 0.008 x4
5 Te 0.182 0.500 0.611 x4

Values from the calculation:
The calculated total energy comes out at -5.288 eV per atom. The raw formation energy comes out at -582 kJ/mol of formula units. For the energy relative to the lowest polymorph listed for this composition, the calculation gives 184.6 meV per atom. Its mass density is 5.7 g/cm3. As for the total magnetization: 0.0000 μB per atom.


No. 9
DFT (GGA-PBE) results for crystalline RbV4S8 at its relaxed geometry.

abc: 10.310 10.310 10.310
angles: 90.00 90.00 90.00
Space group F-43m (No. 216)
Unique sites:
1 Rb 0.000 0.000 0.000 x4
2 V 0.113 0.113 0.613 x16
3 S 0.119 0.119 0.381 x16
4 S 0.153 0.153 0.847 x16

Values from the calculation:
The calculated total energy comes out at -6.081 eV per atom. The raw formation energy comes out at -829 kJ/mol of formula units. For the energy relative to the lowest polymorph listed for this composition, the calculation gives 232.8 meV per atom. Its mass density is 3.3 g/cm3. As for the total magnetization: 0.3800 μB per atom.


No. 10
DFT (GGA-PBE) results for crystalline HoTmGeIr at its relaxed geometry.

abc: 6.948 6.948 6.948
angles: 90.00 90.00 90.00
Space group F-43m (No. 216)
Unique sites:
1 Ho 0.000 0.000 0.000 x4
2 Tm 0.000 0.000 0.500 x4
3 Ge 0.250 0.250 0.250 x4
4 Ir 0.250 0.250 0.750 x4

Values from the calculation:
The calculated total energy comes out at -6.355 eV per atom. The formation energy from the elements is -0.723 eV per atom. For the energy relative to the lowest polymorph listed for this composition, the calculation gives 152.6 meV per atom. Its mass density is 11.9 g/cm3. As for the total magnetization: 0.0000 μB per atom.


No. 11
DFT (GGA-PBE) results for crystalline TmSc3Co at its relaxed geometry.

abc: 4.918 4.918 4.918
angles: 90.00 90.00 90.00
Space group Pm-3m (No. 221)
Unique sites:
1 Tm 0.000 0.000 0.000 x1
2 Sc 0.000 0.500 0.500 x3
3 Co 0.500 0.500 0.500 x1

Values from the calculation:
The calculated total energy comes out at -6.188 eV per atom. The formation energy from the elements is -0.073 eV per atom. For the energy relative to the lowest polymorph listed for this composition, the calculation gives 46.2 meV per atom. Its mass density is 5.1 g/cm3. As for the total magnetization: 0.0000 μB per atom.


No. 12
DFT (GGA-PBE) results for crystalline Ce8SiGe2 at its relaxed geometry.

abc: 15.371 4.995 7.594
angles: 90.00 113.02 90.00
Space group C2/m (No. 12)
Unique sites:
1 Ce 0.006 0.000 0.267 x4
2 Ce 0.068 0.500 0.933 x4
3 Ce 0.181 0.500 0.423 x4
4 Ce 0.197 0.000 0.766 x4
5 Si 0.000 0.500 0.500 x2
6 Ge 0.175 0.000 0.147 x4

Values from the calculation:
The calculated total energy comes out at -6.004 eV per atom. The raw formation energy comes out at -377 kJ/mol of formula units. Its mass density is 8.0 g/cm3. As for the total magnetization: 0.2430 μB per atom.


No. 13
DFT (GGA-PBE) results for crystalline MgGa2Ag2 at its relaxed geometry.

abc: 3.764 3.764 13.630
angles: 90.00 90.00 90.00
Space group I4/mmm (No. 139)
Unique sites:
1 Mg 0.000 0.000 0.000 x2
2 Ga 0.000 0.500 0.250 x4
3 Ag 0.000 0.000 0.399 x4

Values from the calculation:
The calculated total energy comes out at -2.706 eV per atom. The formation energy from the elements is -0.036 eV per atom. For the energy relative to the lowest polymorph listed for this composition, the calculation gives 36.1 meV per atom. Its mass density is 6.5 g/cm3. As for the total magnetization: 0.0000 μB per atom.


No. 14
DFT (GGA-PBE) results for crystalline TlAgSb2Te at its relaxed geometry.

abc: 5.412 5.412 5.696
angles: 90.00 90.00 90.00
Space group P4/mmm (No. 123)
Unique sites:
1 Tl 0.000 0.000 0.000 x1
2 Ag 0.500 0.500 0.500 x1
3 Sb 0.000 0.500 0.500 x2
4 Te 0.500 0.500 0.000 x1

Values from the calculation:
The calculated total energy comes out at -2.908 eV per atom. The raw formation energy comes out at 199 kJ/mol of formula units. For the energy relative to the lowest polymorph listed for this composition, the calculation gives 0.0 meV per atom. Its mass density is 6.8 g/cm3. As for the total magnetization: 0.0000 μB per atom.


No. 15
DFT (GGA-PBE) results for crystalline SrGe2Au2 at its relaxed geometry.

abc: 8.008 8.008 3.452
angles: 90.00 90.00 90.00
Space group P4/mbm (No. 127)
Unique sites:
1 Sr 0.000 0.000 0.000 x2
2 Ge 0.169 0.331 0.500 x4
3 Au 0.128 0.628 0.000 x4

Values from the calculation:
The calculated total energy comes out at -3.648 eV per atom. The formation energy from the elements is -0.153 eV per atom. Its mass density is 9.4 g/cm3. As for the total magnetization: 0.0000 μB per atom.


No. 16
DFT (GGA-PBE) results for crystalline CeHo6Sc at its relaxed geometry.

abc: 8.631 9.198 6.330
angles: 90.00 98.23 90.00
Space group C2/m (No. 12)
Unique sites:
1 Ce 0.000 0.000 0.000 x2
2 Ho 0.156 0.500 0.202 x4
3 Ho 0.165 0.317 0.709 x8
4 Sc 0.000 0.000 0.500 x2

Values from the calculation:
The calculated total energy comes out at -4.811 eV per atom. The formation energy from the elements is 0.155 eV per atom. Its mass density is 7.8 g/cm3. As for the total magnetization: 0.1609 μB per atom.


No. 17
DFT (GGA-PBE) results for crystalline Lu2ScCd at its relaxed geometry.

abc: 3.468 3.468 8.646
angles: 90.00 90.00 90.00
Space group P4/mmm (No. 123)
Unique sites:
1 Lu 0.000 0.000 0.241 x2
2 Sc 0.500 0.500 0.500 x1
3 Cd 0.500 0.500 0.000 x1

Values from the calculation:
The calculated total energy comes out at -4.208 eV per atom. The formation energy from the elements is -0.136 eV per atom. For the energy relative to the lowest polymorph listed for this composition, the calculation gives 0.0 meV per atom. Its mass density is 8.1 g/cm3. As for the total magnetization: 0.0000 μB per atom.


No. 18
DFT (GGA-PBE) results for crystalline LiPmNp2Se4 at its relaxed geometry.

abc: 7.113 4.116 7.141
angles: 90.00 109.53 90.00
Space group P2/m (No. 10)
Unique sites:
1 Li 0.000 0.000 0.000 x1
2 Pm 0.500 0.500 0.000 x1
3 Np 0.000 0.500 0.500 x1
4 Np 0.500 0.000 0.500 x1
5 Se 0.241 0.000 0.749 x2
6 Se 0.242 0.500 0.246 x2

Values from the calculation:
The calculated total energy comes out at -7.145 eV per atom. The raw formation energy comes out at -1030 kJ/mol of formula units. Its mass density is 7.9 g/cm3. As for the total magnetization: 1.1116 μB per atom.


No. 19
DFT (GGA-PBE) results for crystalline NdReBi2O8 at its relaxed geometry.

abc: 5.268 6.845 5.268
angles: 90.00 91.29 90.00
Space group P2/m (No. 10)
Unique sites:
1 Nd 0.000 0.000 0.000 x1
2 Re 0.000 0.500 0.000 x1
3 Bi 0.500 0.253 0.500 x2
4 O 0.178 0.292 0.180 x4
5 O 0.248 0.500 0.754 x2
6 O 0.315 0.000 0.686 x2

Values from the calculation:
The calculated total energy comes out at -7.160 eV per atom. The raw formation energy comes out at -2053 kJ/mol of formula units. Its mass density is 7.7 g/cm3. As for the total magnetization: 0.0000 μB per atom.


No. 20
DFT (GGA-PBE) results for crystalline BaV2Pt at its relaxed geometry.

abc: 6.606 6.606 6.606
angles: 90.00 90.00 90.00
Space group Fm-3m (No. 225)
Unique sites:
1 Ba 0.000 0.000 0.000 x4
2 V 0.250 0.250 0.250 x8
3 Pt 0.000 0.000 0.500 x4

Values from the calculation:
The calculated total energy comes out at -5.856 eV per atom. The formation energy from the elements is 0.694 eV per atom. For the energy relative to the lowest polymorph listed for this composition, the calculation gives 159.3 meV per atom. Its mass density is 10.0 g/cm3. As for the total magnetization: 0.0000 μB per atom.